# 1
{"formula": "AlFePt", "functional": "GGA-PBE", "state": "optimized geometry", "cell": [[-2.344, -4.718, -1.929], [-0.261, -4.179, -3.734], [1.526, -2.062, 1.144]], "species": ["Pt", "Al", "Fe"], "fractional_positions": [[0.662, 0.662, 0.338], [0.998, 0.998, 0.002], [0.340, 0.340, 0.660]], "sg": "No. 107", "e_tot_ev_per_atom": -6.566}


# 2
{"formula": "SiIr2S", "functional": "GGA-PBE", "state": "optimized geometry", "cell": [[5.202, 0.000, 0.000], [0.000, 5.202, 0.000], [2.601, 2.601, 5.508]], "species": ["Ir", "Ir", "Ir", "Ir", "Si", "Si", "S", "S"], "fractional_positions": [[0.875, 0.890, 0.750], [0.640, 0.125, 0.250], [0.375, 0.360, 0.750], [0.110, 0.625, 0.250], [0.250, 0.750, 0.500], [0.500, 0.500, 0.000], [0.000, 0.000, 0.000], [0.750, 0.250, 0.500]], "sg": "No. 122", "e_form_raw_ev_per_fu": -0.41}


# 3
{"formula": "Nd4InAg2Hg", "functional": "GGA-PBE", "state": "optimized geometry", "cell": [[-4.781, 1.647, 1.859], [-3.660, -3.615, 1.598], [0.467, -0.362, 9.330]], "species": ["Ag", "Ag", "In", "Hg", "Nd", "Nd", "Nd", "Nd"], "fractional_positions": [[0.254, 0.254, 0.239], [0.746, 0.746, 0.761], [0.000, 0.000, 0.000], [0.500, 0.500, 0.500], [0.623, 0.623, 0.131], [0.377, 0.377, 0.869], [0.127, 0.127, 0.620], [0.873, 0.873, 0.380]], "sg": "No. 166", "e_tot_ev_per_atom": -3.843}


# 4
{"formula": "NdCo5B3", "functional": "GGA-PBE", "state": "optimized geometry", "cell": [[-3.020, 1.524, 0.842], [-1.175, -5.521, -1.437], [1.314, -2.845, 9.860]], "species": ["Co", "Co", "Co", "Co", "Co", "Co", "Co", "Co", "Co", "Co", "B", "B", "B", "B", "B", "B", "Nd", "Nd"], "fractional_positions": [[0.804, 0.608, 0.063], [0.196, 0.392, 0.563], [0.804, 0.608, 0.437], [0.000, 0.000, 0.500], [0.453, 0.905, 0.359], [0.453, 0.905, 0.141], [0.000, 0.000, 0.000], [0.547, 0.095, 0.641], [0.547, 0.095, 0.859], [0.196, 0.392, 0.937], [0.374, 0.747, 0.533], [0.104, 0.209, 0.750], [0.626, 0.253, 0.467], [0.374, 0.747, 0.967], [0.626, 0.253, 0.033], [0.896, 0.791, 0.250], [0.171, 0.342, 0.250], [0.829, 0.658, 0.750]], "sg": "No. 63", "e_tot_ev_per_atom": -6.935}


M_tot for every record listed, in sequence, given in μB per formula unit: 2.5; 0.0; 0.9; 3.1.